Below is a relaxed GeTe2MoO crystal, with properties calculated at the PBE with a Hubbard U level.

Its total energy is -21.90 eV/f.u.

It has space group P4/mmm (No. 123), with a = 5.1829 Å, b = 5.1829 Å, c = 4.2356 Å, α = 90.00°, β = 90.00° and γ = 90.00°. The asymmetric unit holds Ge at (0.0000, 0.0000, 0.0000), Te at (0.0000, 0.5000, 0.5000), Mo at (0.5000, 0.5000, 0.0000) and O at (0.5000, 0.5000, 0.5000).